Record 1
Computed, not measured: an optimized crystal structure of Ni4HgP2 at the PBE-GGA level of DFT.

energy: -69.6 eV per cell
volume: 91 Å³/f.u.
SG: No. 136
total magnetization: 0.0 μB/cell

abc: 7.170 7.170 3.541
angles: 90.00 90.00 90.00
Element x y z (fractional)
1 Ni 0.065 0.321 0.000
2 Ni 0.179 0.565 0.500
3 Ni 0.321 0.065 0.000
4 Ni 0.435 0.821 0.500
5 Ni 0.565 0.179 0.500
6 Ni 0.679 0.935 0.000
7 Ni 0.821 0.435 0.500
8 Ni 0.935 0.679 0.000
9 Hg 0.000 0.000 0.500
10 Hg 0.500 0.500 0.000
11 P 0.242 0.758 0.000
12 P 0.258 0.258 0.500
13 P 0.742 0.742 0.500
14 P 0.758 0.242 0.000

***

Record 2
Computed, not measured: an optimized crystal structure of Ni2Hg2Pb at the PBE-GGA level of DFT.

energy: -28.0 eV per cell
volume: 104 Å³/f.u.
SG: No. 139
total magnetization: 0.0 μB/cell

abc: 10.928 10.928 10.928
angles: 156.45 156.45 33.55
Element x y z (fractional)
1 Ni 0.063 0.063 0.000
2 Ni 0.250 0.750 0.500
3 Ni 0.750 0.250 0.500
4 Ni 0.937 0.937 0.000
5 Hg 0.000 0.500 0.500
6 Hg 0.185 0.185 0.000
7 Hg 0.500 0.000 0.500
8 Hg 0.815 0.815 0.000
9 Pb 0.362 0.362 0.000
10 Pb 0.638 0.638 0.000

***

Record 3
Computed, not measured: an optimized crystal structure of NiHgPdPb at the PBE-GGA level of DFT.

energy: -55.5 eV per cell
volume: 77 Å³/f.u.
SG: No. 216
total magnetization: 0.8 μB/cell

abc: 6.740 6.740 6.740
angles: 90.00 90.00 90.00
Element x y z (fractional)
1 Ni 0.000 0.000 0.000
2 Ni 0.000 0.500 0.500
3 Ni 0.500 0.000 0.500
4 Ni 0.500 0.500 0.000
5 Hg 0.000 0.000 0.500
6 Hg 0.000 0.500 0.000
7 Hg 0.500 0.000 0.000
8 Hg 0.500 0.500 0.500
9 Pd 0.250 0.250 0.250
10 Pd 0.250 0.750 0.750
11 Pd 0.750 0.250 0.750
12 Pd 0.750 0.750 0.250
13 Pb 0.250 0.250 0.750
14 Pb 0.250 0.750 0.250
15 Pb 0.750 0.250 0.250
16 Pb 0.750 0.750 0.750

***

Record 4
Computed, not measured: an optimized crystal structure of NiHgPdPb at the PBE-GGA level of DFT.

energy: -58.1 eV per cell
volume: 73 Å³/f.u.
SG: No. 216
total magnetization: 0.0 μB/cell

abc: 6.641 6.641 6.641
angles: 90.00 90.00 90.00
Element x y z (fractional)
1 Ni 0.000 0.000 0.000
2 Ni 0.000 0.500 0.500
3 Ni 0.500 0.000 0.500
4 Ni 0.500 0.500 0.000
5 Hg 0.250 0.250 0.250
6 Hg 0.250 0.750 0.750
7 Hg 0.750 0.250 0.750
8 Hg 0.750 0.750 0.250
9 Pd 0.000 0.000 0.500
10 Pd 0.000 0.500 0.000
11 Pd 0.500 0.000 0.000
12 Pd 0.500 0.500 0.500
13 Pb 0.250 0.250 0.750
14 Pb 0.250 0.750 0.250
15 Pb 0.750 0.250 0.250
16 Pb 0.750 0.750 0.750

***

Record 5
Computed, not measured: an optimized crystal structure of NiHgPtPb at the PBE-GGA level of DFT.

energy: -60.0 eV per cell
volume: 74 Å³/f.u.
SG: No. 216
total magnetization: 0.0 μB/cell

abc: 6.662 6.662 6.662
angles: 90.00 90.00 90.00
Element x y z (fractional)
1 Ni 0.000 0.000 0.000
2 Ni 0.000 0.500 0.500
3 Ni 0.500 0.000 0.500
4 Ni 0.500 0.500 0.000
5 Hg 0.250 0.250 0.250
6 Hg 0.250 0.750 0.750
7 Hg 0.750 0.250 0.750
8 Hg 0.750 0.750 0.250
9 Pt 0.000 0.000 0.500
10 Pt 0.000 0.500 0.000
11 Pt 0.500 0.000 0.000
12 Pt 0.500 0.500 0.500
13 Pb 0.250 0.250 0.750
14 Pb 0.250 0.750 0.250
15 Pb 0.750 0.250 0.250
16 Pb 0.750 0.750 0.750

***

Record 6
Computed, not measured: an optimized crystal structure of ScNiHgPb at the PBE-GGA level of DFT.

energy: -65.0 eV per cell
volume: 78 Å³/f.u.
SG: No. 216
total magnetization: 0.0 μB/cell

abc: 6.791 6.791 6.791
angles: 90.00 90.00 90.00
Element x y z (fractional)
1 Sc 0.000 0.000 0.000
2 Sc 0.000 0.500 0.500
3 Sc 0.500 0.000 0.500
4 Sc 0.500 0.500 0.000
5 Ni 0.000 0.000 0.500
6 Ni 0.000 0.500 0.000
7 Ni 0.500 0.000 0.000
8 Ni 0.500 0.500 0.500
9 Hg 0.250 0.250 0.750
10 Hg 0.250 0.750 0.250
11 Hg 0.750 0.250 0.250
12 Hg 0.750 0.750 0.750
13 Pb 0.250 0.250 0.250
14 Pb 0.250 0.750 0.750
15 Pb 0.750 0.250 0.750
16 Pb 0.750 0.750 0.250

***

Record 7
Computed, not measured: an optimized crystal structure of ScNiHgPb at the PBE-GGA level of DFT.

energy: -64.4 eV per cell
volume: 81 Å³/f.u.
SG: No. 216
total magnetization: 0.0 μB/cell

abc: 6.872 6.872 6.872
angles: 90.00 90.00 90.00
Element x y z (fractional)
1 Sc 0.000 0.000 0.000
2 Sc 0.000 0.500 0.500
3 Sc 0.500 0.000 0.500
4 Sc 0.500 0.500 0.000
5 Ni 0.250 0.250 0.750
6 Ni 0.250 0.750 0.250
7 Ni 0.750 0.250 0.250
8 Ni 0.750 0.750 0.750
9 Hg 0.250 0.250 0.250
10 Hg 0.250 0.750 0.750
11 Hg 0.750 0.250 0.750
12 Hg 0.750 0.750 0.250
13 Pb 0.000 0.000 0.500
14 Pb 0.000 0.500 0.000
15 Pb 0.500 0.000 0.000
16 Pb 0.500 0.500 0.500

***

Record 8
Computed, not measured: an optimized crystal structure of TcNiHgPb at the PBE-GGA level of DFT.

energy: -70.5 eV per cell
volume: 71 Å³/f.u.
SG: No. 216
total magnetization: 0.1 μB/cell

abc: 6.559 6.559 6.559
angles: 90.00 90.00 90.00
Element x y z (fractional)
1 Tc 0.000 0.000 0.000
2 Tc 0.000 0.500 0.500
3 Tc 0.500 0.000 0.500
4 Tc 0.500 0.500 0.000
5 Ni 0.000 0.000 0.500
6 Ni 0.000 0.500 0.000
7 Ni 0.500 0.000 0.000
8 Ni 0.500 0.500 0.500
9 Hg 0.250 0.250 0.750
10 Hg 0.250 0.750 0.250
11 Hg 0.750 0.250 0.250
12 Hg 0.750 0.750 0.750
13 Pb 0.250 0.250 0.250
14 Pb 0.250 0.750 0.750
15 Pb 0.750 0.250 0.750
16 Pb 0.750 0.750 0.250

***

Record 9
Computed, not measured: an optimized crystal structure of TcNiHgPb at the PBE-GGA level of DFT.

energy: -67.4 eV per cell
volume: 77 Å³/f.u.
SG: No. 216
total magnetization: 12.8 μB/cell

abc: 6.766 6.766 6.766
angles: 90.00 90.00 90.00
Element x y z (fractional)
1 Tc 0.000 0.000 0.000
2 Tc 0.000 0.500 0.500
3 Tc 0.500 0.000 0.500
4 Tc 0.500 0.500 0.000
5 Ni 0.250 0.250 0.750
6 Ni 0.250 0.750 0.250
7 Ni 0.750 0.250 0.250
8 Ni 0.750 0.750 0.750
9 Hg 0.250 0.250 0.250
10 Hg 0.250 0.750 0.750
11 Hg 0.750 0.250 0.750
12 Hg 0.750 0.750 0.250
13 Pb 0.000 0.000 0.500
14 Pb 0.000 0.500 0.000
15 Pb 0.500 0.000 0.000
16 Pb 0.500 0.500 0.500

***

Record 10
Computed, not measured: an optimized crystal structure of NiHgTe3Pb at the PBE-GGA level of DFT.

energy: -39.1 eV per cell
volume: 172 Å³/f.u.
SG: No. 63
total magnetization: 0.0 μB/cell

abc: 6.925 6.925 12.550
angles: 90.00 90.00 145.19
Element x y z (fractional)
1 Ni 0.090 0.910 0.750
2 Ni 0.910 0.090 0.250
3 Hg 0.500 0.500 0.000
4 Hg 0.500 0.500 0.500
5 Te 0.158 0.842 0.561
6 Te 0.158 0.842 0.939
7 Te 0.479 0.521 0.750
8 Te 0.521 0.479 0.250
9 Te 0.842 0.158 0.061
10 Te 0.842 0.158 0.439
11 Pb 0.258 0.742 0.250
12 Pb 0.742 0.258 0.750

***

Record 11
Computed, not measured: an optimized crystal structure of NiHgTe3Pb at the PBE-GGA level of DFT.

energy: -39.2 eV per cell
volume: 180 Å³/f.u.
SG: No. 63
total magnetization: 0.0 μB/cell

abc: 8.182 8.182 11.467
angles: 90.00 90.00 152.08
Element x y z (fractional)
1 Ni 0.000 0.000 0.000
2 Ni 0.000 0.000 0.500
3 Hg 0.326 0.674 0.750
4 Hg 0.674 0.326 0.250
5 Te 0.018 0.982 0.750
6 Te 0.398 0.602 0.513
7 Te 0.398 0.602 0.987
8 Te 0.602 0.398 0.013
9 Te 0.602 0.398 0.487
10 Te 0.982 0.018 0.250
11 Pb 0.334 0.666 0.250
12 Pb 0.666 0.334 0.750

***

Record 12
Computed, not measured: an optimized crystal structure of NiHgPbW at the PBE-GGA level of DFT.

energy: -72.9 eV per cell
volume: 77 Å³/f.u.
SG: No. 216
total magnetization: 8.3 μB/cell

abc: 6.760 6.760 6.760
angles: 90.00 90.00 90.00
Element x y z (fractional)
1 Ni 0.000 0.000 0.000
2 Ni 0.000 0.500 0.500
3 Ni 0.500 0.000 0.500
4 Ni 0.500 0.500 0.000
5 Hg 0.000 0.000 0.500
6 Hg 0.000 0.500 0.000
7 Hg 0.500 0.000 0.000
8 Hg 0.500 0.500 0.500
9 Pb 0.250 0.250 0.750
10 Pb 0.250 0.750 0.250
11 Pb 0.750 0.250 0.250
12 Pb 0.750 0.750 0.750
13 W 0.250 0.250 0.250
14 W 0.250 0.750 0.750
15 W 0.750 0.250 0.750
16 W 0.750 0.750 0.250

***

Record 13
Computed, not measured: an optimized crystal structure of YNiHgPb at the PBE-GGA level of DFT.

energy: -66.6 eV per cell
volume: 89 Å³/f.u.
SG: No. 216
total magnetization: 0.0 μB/cell

abc: 7.087 7.087 7.087
angles: 90.00 90.00 90.00
Element x y z (fractional)
1 Y 0.000 0.000 0.000
2 Y 0.000 0.500 0.500
3 Y 0.500 0.000 0.500
4 Y 0.500 0.500 0.000
5 Ni 0.250 0.250 0.750
6 Ni 0.250 0.750 0.250
7 Ni 0.750 0.250 0.250
8 Ni 0.750 0.750 0.750
9 Hg 0.250 0.250 0.250
10 Hg 0.250 0.750 0.750
11 Hg 0.750 0.250 0.750
12 Hg 0.750 0.750 0.250
13 Pb 0.000 0.000 0.500
14 Pb 0.000 0.500 0.000
15 Pb 0.500 0.000 0.000
16 Pb 0.500 0.500 0.500